# 1
# PBE Ca3HPt, relaxed
data_Ca3HPt
_chemical_formula_sum 'Ca6 H2 Pt2'
_cell_length_a 3.842
_cell_length_b 7.986
_cell_length_c 7.994
_cell_angle_alpha 71.54
_cell_angle_beta 90.00
_cell_angle_gamma 90.00
_space_group_name_H-M_alt 'P 1'
_space_group_IT_number 1
loop_
_space_group_symop_operation_xyz
'x,y,z'
loop_
_atom_site_label
_atom_site_fract_x
_atom_site_fract_y
_atom_site_fract_z
_atom_site_occupancy
H1 0.363 0.694 0.246 1
Ca1 0.863 0.386 0.807 1
Ca2 0.363 0.034 0.086 1
Pt1 0.863 0.194 0.247 1
Ca3 0.863 0.756 0.438 1
Ca4 0.363 0.354 0.407 1
Ca5 0.864 0.002 0.685 1
H2 0.364 0.194 0.746 1
Pt2 0.363 0.694 0.746 1
Ca6 0.863 0.633 0.055 1
# - magnetic moment (μB per formula unit) = 0.00
# - E_tot (eV per atom) = -3.59
# - polymorph energy (0 for the lowest one) (eV/f.u.) = 0.00



# 2
# PBE TaRh2W, relaxed
data_TaRh2W
_chemical_formula_sum 'Ta2 Rh4 W2'
_cell_length_a 7.020
_cell_length_b 7.020
_cell_length_c 5.672
_cell_angle_alpha 51.77
_cell_angle_beta 51.77
_cell_angle_gamma 90.00
_space_group_name_H-M_alt 'P 1'
_space_group_IT_number 1
loop_
_space_group_symop_operation_xyz
'x,y,z'
loop_
_atom_site_label
_atom_site_fract_x
_atom_site_fract_y
_atom_site_fract_z
_atom_site_occupancy
Ta1 0.500 0.500 0.000 1
Ta2 0.250 0.750 0.500 1
Rh1 0.116 0.625 0.250 1
W1 0.000 0.000 0.000 1
Rh2 0.375 0.366 0.750 1
W2 0.750 0.250 0.500 1
Rh3 0.875 0.884 0.750 1
Rh4 0.634 0.125 0.250 1
# - magnetic moment (μB per formula unit) = 0.00
# - E_form (kJ per mole of atoms) = 28.1
# - E_tot (eV per atom) = -9.59
# - polymorph energy (0 for the lowest one) (eV/f.u.) = 2.47



Q: Which formula does entry 1 have?
A: Ca3HPt



Q: Number 1 is which compound?
A: Ca3HPt